Entry 1:
Sr2SmGaCu2O7 at its PBEsol-relaxed geometry, computed with SCAN. Values from VASP.

Computed properties:
raw formation energy = -2958 kJ/mol of formula units

The structure in Quantum ESPRESSO input format:
```
&SYSTEM
  ibrav = 0, nat = 26, ntyp = 5
/
ATOMIC_SPECIES
Sr 87.62 Sr.upf
Sm 150.36 Sm.upf
Ga 69.72 Ga.upf
Cu 63.55 Cu.upf
O 16.00 O.upf
CELL_PARAMETERS angstrom
-11.447 2.736 2.683
11.447 -2.736 2.683
11.447 2.736 -2.683
ATOMIC_POSITIONS crystal
Sr 0.016 0.151 0.168
Sr 0.016 0.349 0.365
Sr 0.984 0.651 0.635
Sr 0.984 0.849 0.832
Sm 0.002 0.002 0.000
Sm 0.002 0.502 0.500
Ga 0.393 0.712 0.180
Ga 0.532 0.212 0.820
Cu 0.502 0.577 0.073
Cu 0.502 0.929 0.425
Cu 0.503 0.077 0.575
Cu 0.503 0.429 0.927
O 0.003 0.187 0.688
O 0.003 0.319 0.816
O 0.003 0.687 0.183
O 0.003 0.815 0.316
O 0.227 0.861 0.866
O 0.484 0.204 0.632
O 0.484 0.352 0.780
O 0.499 0.315 0.312
O 0.499 0.687 0.684
O 0.503 0.187 0.184
O 0.503 0.819 0.817
O 0.572 0.704 0.220
O 0.572 0.852 0.368
O 0.995 0.361 0.134
```

=====

Entry 2:
SrBe2Mo at its PBEsol-relaxed geometry, computed with SCAN. Values from VASP.

Computed properties:
ΔE_f = 0.873 eV/atom
relative energy among the computed polymorphs = 211.8 meV per atom

The structure in Quantum ESPRESSO input format:
```
&SYSTEM
  ibrav = 0, nat = 4, ntyp = 3
/
ATOMIC_SPECIES
Sr 87.62 Sr.upf
Be 9.01 Be.upf
Mo 95.94 Mo.upf
CELL_PARAMETERS angstrom
-1.341 2.477 4.738
1.341 -2.477 4.738
1.341 2.477 -4.738
ATOMIC_POSITIONS crystal
Sr 0.000 0.000 0.000
Be 0.283 0.783 0.500
Be 0.480 0.480 0.000
Mo 0.703 0.203 0.500
```

=====

Entry 3:
Ba2AgAs at its PBEsol-relaxed geometry, computed with SCAN. Values from VASP.

Computed properties:
ΔE_f = -0.790 eV/atom

The structure in Quantum ESPRESSO input format:
```
&SYSTEM
  ibrav = 0, nat = 4, ntyp = 3
/
ATOMIC_SPECIES
Ba 137.33 Ba.upf
Ag 107.87 Ag.upf
As 74.92 As.upf
CELL_PARAMETERS angstrom
4.698 0.000 0.000
0.000 2.293 6.063
0.000 -2.293 6.063
ATOMIC_POSITIONS crystal
Ba 0.000 0.000 0.000
Ba 0.500 0.273 0.273
Ag 0.500 0.571 0.571
As 0.000 0.711 0.711
```

=====

Entry 4:
Ba2SrCd at its PBEsol-relaxed geometry, computed with SCAN. Values from VASP.

Computed properties:
ΔE_f = -0.103 eV/atom

The structure in Quantum ESPRESSO input format:
```
&SYSTEM
  ibrav = 0, nat = 4, ntyp = 3
/
ATOMIC_SPECIES
Ba 137.33 Ba.upf
Sr 87.62 Sr.upf
Cd 112.41 Cd.upf
CELL_PARAMETERS angstrom
-2.154 3.084 6.501
2.154 -3.084 6.501
2.154 3.084 -6.501
ATOMIC_POSITIONS crystal
Ba 0.209 0.209 0.000
Ba 0.791 0.791 0.000
Sr 0.500 0.000 0.500
Cd 0.000 0.500 0.500
```

=====

Entry 5:
In2RuPt at its PBEsol-relaxed geometry, computed with SCAN. Values from VASP.

Computed properties:
ΔE_f = 0.189 eV/atom

The structure in Quantum ESPRESSO input format:
```
&SYSTEM
  ibrav = 0, nat = 4, ntyp = 3
/
ATOMIC_SPECIES
In 114.82 In.upf
Ru 101.07 Ru.upf
Pt 195.08 Pt.upf
CELL_PARAMETERS angstrom
0.000 3.242 3.242
3.242 0.000 3.242
3.242 3.242 0.000
ATOMIC_POSITIONS crystal
In 0.000 0.000 0.000
In 0.250 0.250 0.250
Ru 0.750 0.750 0.750
Pt 0.500 0.500 0.500
```

=====

Entry 6:
Be2AuCl at its PBEsol-relaxed geometry, computed with SCAN. Values from VASP.

Computed properties:
raw formation energy = 241 kJ/mol of formula units
relative energy among the computed polymorphs = 0.0 meV per atom

The structure in Quantum ESPRESSO input format:
```
&SYSTEM
  ibrav = 0, nat = 4, ntyp = 3
/
ATOMIC_SPECIES
Be 9.01 Be.upf
Au 196.97 Au.upf
Cl 35.45 Cl.upf
CELL_PARAMETERS angstrom
0.000 3.033 3.033
3.033 0.000 3.033
3.033 3.033 0.000
ATOMIC_POSITIONS crystal
Be 0.250 0.250 0.250
Be 0.750 0.750 0.750
Au 0.000 0.000 0.000
Cl 0.500 0.500 0.500
```

=====

Entry 7:
Zr2TlCo at its PBEsol-relaxed geometry, computed with SCAN. Values from VASP.

Computed properties:
ΔE_f = -0.249 eV/atom

The structure in Quantum ESPRESSO input format:
```
&SYSTEM
  ibrav = 0, nat = 4, ntyp = 3
/
ATOMIC_SPECIES
Zr 91.22 Zr.upf
Tl 204.38 Tl.upf
Co 58.93 Co.upf
CELL_PARAMETERS angstrom
3.045 0.000 0.000
0.000 3.045 0.000
0.000 0.000 8.037
ATOMIC_POSITIONS crystal
Zr 0.000 0.000 0.205
Zr 0.000 0.000 0.795
Tl 0.500 0.500 0.500
Co 0.500 0.500 0.000
```

=====

Entry 8:
ZrBe2Pb at its PBEsol-relaxed geometry, computed with SCAN. Values from VASP.

Computed properties:
ΔE_f = 0.066 eV/atom

The structure in Quantum ESPRESSO input format:
```
&SYSTEM
  ibrav = 0, nat = 4, ntyp = 3
/
ATOMIC_SPECIES
Zr 91.22 Zr.upf
Be 9.01 Be.upf
Pb 207.20 Pb.upf
CELL_PARAMETERS angstrom
3.785 0.000 0.000
0.000 3.679 0.000
-1.852 0.000 4.536
ATOMIC_POSITIONS crystal
Zr 0.000 0.000 0.000
Be 0.567 0.500 0.136
Be 0.698 0.000 0.403
Pb 0.284 0.500 0.575
```

=====

Number 1: calculated total energy -16.155 eV per atom. Number 2: calculated total energy -15.594 eV per atom. Number 3: calculated total energy -33.455 eV per atom. Number 4: calculated total energy -33.050 eV per atom. Number 5: calculated total energy -42.759 eV per atom. Number 6: calculated total energy -20.836 eV per atom. Number 7: calculated total energy -38.014 eV per atom. Number 8: calculated total energy -28.731 eV per atom.